Material: LuAgPd
Method: DFT, PBE
State: relaxed

Unit cell a=4.582 b=4.582 c=4.582 alpha=60.00 beta=60.00 gamma=60.00
Element x y z (fractional)
Lu1 0.000 0.000 0.000
Pd1 0.250 0.250 0.250
Ag1 0.500 0.500 0.500

Values from the calculation:
E_form = -1.4 eV/f.u.

Material: AlZn2MoPt
Method: DFT, PBE
State: relaxed

Unit cell a=4.460 b=4.460 c=4.609 alpha=90.00 beta=90.00 gamma=90.00
Element x y z (fractional)
Mo1 0.000 0.000 0.500
Zn1 0.000 0.500 0.000
Zn2 0.500 0.000 0.000
Pt1 0.500 0.500 0.500
Al1 0.000 0.000 0.000

Values from the calculation:
E_form = 5.0 eV/f.u.

Material: HfZrHN
Method: DFT, PBE
State: relaxed

Unit cell a=3.244 b=3.244 c=5.605 alpha=73.18 beta=73.18 gamma=60.00
Element x y z (fractional)
Hf1 0.853 0.853 0.440
Zr1 0.361 0.361 0.917
H1 0.604 0.604 0.188
N1 0.111 0.111 0.667

Values from the calculation:
Electronic total energy = -8.59 eV/atom

Material: RbYCdHg2
Method: DFT, PBE
State: relaxed

Unit cell a=5.688 b=5.787 c=5.688 alpha=90.00 beta=90.00 gamma=90.00
Element x y z (fractional)
Y1 0.000 0.500 0.000
Hg1 0.000 0.000 0.500
Hg2 0.500 0.000 0.000
Rb1 0.500 0.500 0.500
Cd1 0.000 0.000 0.000

Values from the calculation:
E_form = 1.3 eV/f.u.

Material: BaFe2Se
Method: DFT, PBE
State: relaxed

Unit cell a=5.219 b=4.328 c=4.328 alpha=90.00 beta=90.00 gamma=90.00
Element x y z (fractional)
Ba1 0.500 0.000 0.500
Fe1 0.000 0.000 0.000
Fe2 0.000 0.500 0.500
Se1 0.500 0.500 0.000

Values from the calculation:
Raw formation energy = 0.5108 eV per atom